Record 1
The following is a PBE calculation of crystalline Ta2CoPt6 at its relaxed geometry, from the Alexandria database.

Computed properties:
**Raw total energy**: -8.024 eV per atom

a b c (Å): 6.3097 6.3097 6.3040
angles (deg): 107.60 107.60 35.85
With the nearest neighbours (Å) after each atom.
Element x y z (fractional)
1 Ta 0.0567 0.0567 0.3152  9 Pt 2.64-2.91, 2 Co 2.71
2 Ta 0.9433 0.9433 0.6848  9 Pt 2.64-2.91, 2 Co 2.71
3 Co 0.5000 0.5000 0.0000  4 Ta 2.71, 8 Pt 2.73-2.77
4 Pt 0.1612 0.1612 0.0037  2 Ta 2.64-2.75, 2 Co 2.74, 8 Pt 2.77-2.96
5 Pt 0.2842 0.2842 0.6650  3 Ta 2.70-2.91, 8 Pt 2.77-2.96, 1 Co 2.77
6 Pt 0.3982 0.3982 0.3304  7 Pt 2.69-2.94, 1 Co 2.73, 4 Ta 2.74-2.88
7 Pt 0.6018 0.6018 0.6696  7 Pt 2.69-2.94, 1 Co 2.73, 4 Ta 2.74-2.88
8 Pt 0.7158 0.7158 0.3350  3 Ta 2.70-2.91, 8 Pt 2.77-2.96, 1 Co 2.77
9 Pt 0.8388 0.8388 0.9963  2 Ta 2.64-2.75, 2 Co 2.74, 8 Pt 2.77-2.96

Record 2
The following is a PBE calculation of crystalline Ta2Co3Ir3 at its relaxed geometry, from the Alexandria database.

Computed properties:
**Raw total energy**: -9.407 eV per atom

a b c (Å): 3.7932 3.8253 7.5619
angles (deg): 90.00 90.00 90.00
With the nearest neighbours (Å) after each atom.
Element x y z (fractional)
1 Ta 0.0000 0.0000 0.2431  6 Co 2.64-2.69, 6 Ir 2.65-2.73
2 Ta 0.0000 0.0000 0.7569  6 Co 2.64-2.69, 6 Ir 2.65-2.73
3 Co 0.5000 0.0000 0.0000  4 Ta 2.64, 4 Co 2.67, 4 Ir 2.69
4 Co 0.5000 0.5000 0.2470  6 Ir 2.66-2.71, 2 Co 2.67, 4 Ta 2.69
5 Co 0.5000 0.5000 0.7530  6 Ir 2.66-2.71, 2 Co 2.67, 4 Ta 2.69
6 Ir 0.0000 0.5000 0.0000  4 Ta 2.65, 8 Co 2.66-2.69
7 Ir 0.0000 0.5000 0.5000  4 Ir 2.69, 4 Co 2.69, 4 Ta 2.73
8 Ir 0.5000 0.0000 0.5000  4 Ir 2.69, 4 Co 2.71, 4 Ta 2.72